Density functional theory data (PBE) for a relaxed Tm7Ga2Bi2 crystal.

Unit cell a=6.506 b=6.506 c=7.992 alpha=90.00 beta=90.00 gamma=110.27
Sites, in units of the cell vectors:
Tm 0.000 0.000 0.000
Tm 0.000 0.500 0.302
Tm 0.000 0.500 0.698
Tm 0.500 0.000 0.302
Tm 0.500 0.000 0.698
Tm 0.500 0.500 0.291
Tm 0.500 0.500 0.709
Ga 0.170 0.170 0.500
Ga 0.830 0.830 0.500
Bi 0.306 0.694 0.000
Bi 0.694 0.306 0.000

Values from the calculation:
- Energy of formation: -0.161 eV per atom
- Uncorrected energy: -4.26 eV/atom
- Total magnetization: 0.000 μB per formula unit